Cu2GeSe: relaxed, PBE-GGA.

extended XYZ file:
```
8
Lattice="5.969 0.000 0.000 0.000 5.969 0.000 2.984 2.984 4.522" Properties=species:S:1:pos:R:3 pbc="T T T"
Ge 2.984 2.984 0.000
Ge 2.984 5.969 2.261
Cu 4.520 1.492 1.131
Cu 1.449 4.476 1.131
Cu 4.476 4.433 3.392
Cu 7.461 7.504 3.392
Se 0.000 0.000 0.000
Se 5.969 2.984 2.261
```

Results
Magnetization, μB/atom: 0.000
Raw formation energy, kJ/mol of atoms: 16.5
Space group: I-42d
DOS(E_F), states/eV/atom: 0.394
Crystal system: tetragonal

Zr2ReSiRu: relaxed, PBE-GGA.

extended XYZ file:
```
5
Lattice="-3.930 -1.110 -2.961 -2.694 -0.337 3.702 -1.112 4.907 -0.363" Properties=species:S:1:pos:R:3 pbc="T T T"
Re 0.000 0.000 0.000
Si -3.868 1.730 0.189
Zr -0.556 2.453 -0.181
Zr -1.965 -0.555 -1.481
Ru -1.347 -0.168 1.851
```

Results
Magnetization, μB/atom: 0.000
Raw formation energy, kJ/mol of atoms: 85.6
Space group: P4/mmm
DOS(E_F), states/eV/atom: 0.622
Crystal system: tetragonal
Polymorph energy (0 for the lowest one), meV/atom: 259

YZn8Pd4: relaxed, PBE-GGA.

extended XYZ file:
```
13
Lattice="5.486 0.000 0.000 2.743 6.203 0.000 2.743 0.000 6.203" Properties=species:S:1:pos:R:3 pbc="T T T"
Y 0.000 0.000 0.000
Zn 2.743 2.155 4.048
Zn 2.743 4.048 2.155
Zn 5.486 4.048 4.048
Zn 5.486 2.155 2.155
Zn 5.486 4.856 1.347
Zn 5.486 1.347 4.856
Zn 2.743 1.347 1.347
Zn 8.230 4.856 4.856
Pd 1.372 0.000 3.101
Pd 4.115 0.000 3.101
Pd 1.372 3.101 0.000
Pd 4.115 3.101 0.000
```

Results
Magnetization, μB/atom: 0.000
Space group: I4/mmm
DOS(E_F), states/eV/atom: 0.512
Crystal system: tetragonal
Formation energy, eV/atom: -0.45

TlPb3Au: relaxed, PBE-GGA.

extended XYZ file:
```
20
Lattice="3.601 0.000 0.000 0.000 11.474 0.000 0.000 0.000 14.119" Properties=species:S:1:pos:R:3 pbc="T T T"
Tl 2.701 9.597 0.239
Tl 0.900 7.614 7.298
Tl 2.701 3.860 6.821
Tl 0.900 1.877 13.880
Pb 0.900 6.315 1.472
Pb 2.701 5.159 12.646
Pb 0.900 0.578 5.587
Pb 2.701 10.896 8.532
Pb 0.900 4.974 9.609
Pb 2.701 0.763 2.549
Pb 0.900 10.711 11.570
Pb 2.701 7.988 10.421
Pb 0.900 3.486 3.698
Pb 2.701 2.251 10.757
Pb 2.701 6.500 4.510
Pb 0.900 9.223 3.362
Au 0.900 1.891 8.341
Au 0.900 7.628 12.837
Au 2.701 3.846 1.282
Au 2.701 9.583 5.778
```

Results
Magnetization, μB/atom: 0.000
Space group: Pnma
DOS(E_F), states/eV/atom: 0.337
Crystal system: orthorhombic
Polymorph energy (0 for the lowest one), meV/atom: 0
Formation energy, eV/atom: -0.02